<P>
Density functional theory data (PBE) for AgPRu after structural relaxation.

Properties
* total moment: 0.000 μB/atom
* mass density: 8.136 g/cm3
* density of states at the Fermi level: 0.83 states/eV/cell

Cell: 3.8085 3.8085 3.8982 Å, 90.00 90.00 120.00°
Atoms (fractional coordinates):
Ag  0.0000  0.0000  0.0216
P  0.3333  0.6667  0.4365
Ru  0.6667  0.3333  0.5419

<Q>
Density functional theory data (PBE) for AgPRu after structural relaxation.

Properties
* total moment: 0.000 μB/atom
* mass density: 8.241 g/cm3
* density of states at the Fermi level: 1.56 states/eV/cell

Cell: 2.9417 2.9417 6.4507 Å, 90.00 90.00 120.00°
Atoms (fractional coordinates):
Ag  0.0000  0.0000  0.9967
P  0.6667  0.3333  0.3822
Ru  0.3333  0.6667  0.6211

<R>
Density functional theory data (PBE) for AgPRu after structural relaxation.

Properties
* total moment: 0.000 μB/atom
* mass density: 8.624 g/cm3
* density of states at the Fermi level: 0.53 states/eV/cell

Cell: 5.5607 5.5607 5.5607 Å, 148.73 148.73 44.81°
Atoms (fractional coordinates):
Ag  0.9956  0.9956  0.0000
P  0.3024  0.3024  0.0000
Ru  0.7021  0.7021  0.0000

The energy of each structure relative to the most stable one, in kJ/mol of atoms, is as follows: <P> 3.8; <Q> 10.6; <R> 0.0.

<P>
Density functional theory data (PBE) for AgPRu after structural relaxation.

Properties
* total moment: 0.000 μB/atom
* mass density: 8.323 g/cm3
* density of states at the Fermi level: 0.98 states/eV/cell

Cell: 4.0155 4.0155 5.9371 Å, 90.00 90.00 90.00°
Atoms (fractional coordinates):
Ru  0.0000  0.0000  0.5000
Ru  0.5000  0.5000  0.5000
Ag  0.0000  0.5000  0.8782
Ag  0.5000  0.0000  0.1218
P  0.0000  0.5000  0.2948
P  0.5000  0.0000  0.7052

<Q>
Density functional theory data (PBE) for AgPRu after structural relaxation.

Properties
* total moment: 0.000 μB/atom
* mass density: 8.426 g/cm3
* density of states at the Fermi level: 0.83 states/eV/cell

Cell: 4.0588 4.0588 4.0588 Å, 60.00 60.00 60.00°
Atoms (fractional coordinates):
Ag  0.5000  0.5000  0.5000
P  0.2500  0.2500  0.2500
Ru  0.0000  0.0000  0.0000

The energy of each structure relative to the most stable one, in kJ/mol of atoms, is as follows: <P> 0.0; <Q> 37.7.

<P>
Density functional theory data (PBE) for AgP2Ru after structural relaxation.

Properties
* total moment: 0.000 μB/atom
* mass density: 7.222 g/cm3
* density of states at the Fermi level: 2.51 states/eV/cell

Cell: 3.0338 3.0338 6.7674 Å, 90.00 90.00 90.00°
Atoms (fractional coordinates):
Ag  0.5000  0.5000  0.7348
P  0.0000  0.0000  0.0676
P  0.5000  0.5000  0.2680
Ru  0.0000  0.0000  0.4295

<Q>
Density functional theory data (PBE) for AgP2Ru after structural relaxation.

Properties
* total moment: 0.000 μB/atom
* mass density: 5.491 g/cm3
* density of states at the Fermi level: 3.21 states/eV/cell

Cell: 5.6509 5.6509 6.5033 Å, 64.25 64.25 90.00°
Atoms (fractional coordinates):
Ru  0.5000  0.5000  0.0000
Ru  0.2500  0.7500  0.5000
Ag  0.0000  0.0000  0.0000
Ag  0.7500  0.2500  0.5000
P  0.5810  0.1250  0.2500
P  0.1690  0.6250  0.2500
P  0.3750  0.4190  0.7500
P  0.8750  0.8310  0.7500

<R>
Density functional theory data (PBE) for AgP2Ru after structural relaxation.

Properties
* total moment: 0.000 μB/atom
* mass density: 7.059 g/cm3
* density of states at the Fermi level: 2.34 states/eV/cell

Cell: 2.8279 2.8279 8.6756 Å, 90.00 90.00 113.30°
Atoms (fractional coordinates):
Ag  0.5000  0.5000  0.7501
P  0.0000  0.0000  0.0007
P  0.5000  0.5000  0.2817
Ru  0.0000  0.0000  0.4676

<S>
Density functional theory data (PBE) for AgP2Ru after structural relaxation.

Properties
* total moment: 0.000 μB/atom
* mass density: 6.966 g/cm3
* density of states at the Fermi level: 1.95 states/eV/cell

Cell: 6.6223 6.6223 6.6223 Å, 155.12 148.03 40.93°
Atoms (fractional coordinates):
Ag  0.3095  0.8095  0.5000
P  0.9710  0.9710  0.0000
P  0.6863  0.1863  0.5000
Ru  0.5332  0.5332  0.0000

The energy of each structure relative to the most stable one, in kJ/mol of atoms, is as follows: <P> 16.8; <Q> 3.0; <R> 36.6; <S> 0.0.

<P>
Density functional theory data (PBE) for AgP2Ru after structural relaxation.

Properties
* total moment: 0.000 μB/atom
* mass density: 7.449 g/cm3
* density of states at the Fermi level: 3.01 states/eV/cell

Cell: 7.6926 7.6926 7.6926 Å, 22.88 22.88 22.88°
Atoms (fractional coordinates):
Ag  0.7445  0.7445  0.7445
P  0.9878  0.9878  0.9878
P  0.2514  0.2514  0.2514
Ru  0.5163  0.5163  0.5163

<Q>
Density functional theory data (PBE) for AgP2Ru after structural relaxation.

Properties
* total moment: 0.000 μB/atom
* mass density: 7.642 g/cm3
* density of states at the Fermi level: 1.76 states/eV/cell

Cell: 5.0394 5.0394 5.0394 Å, 136.97 136.97 62.48°
Atoms (fractional coordinates):
Ag  0.7500  0.2500  0.5000
P  0.0000  0.0000  0.0000
P  0.2500  0.7500  0.5000
Ru  0.5000  0.5000  0.0000

The energy of each structure relative to the most stable one, in kJ/mol of atoms, is as follows: <P> 0.0; <Q> 19.9.

<P>
Density functional theory data (PBE) for AgP2Ru after structural relaxation.

Properties
* total moment: 0.000 μB/atom
* mass density: 7.716 g/cm3
* density of states at the Fermi level: 2.30 states/eV/cell

Cell: 4.3523 4.3523 4.3523 Å, 60.00 60.00 60.00°
Atoms (fractional coordinates):
Ru  0.0000  0.0000  0.0000
Ag  0.5000  0.5000  0.5000
P  0.2500  0.2500  0.2500
P  0.7500  0.7500  0.7500

<Q>
Density functional theory data (PBE) for AgP2Ru after structural relaxation.

Properties
* total moment: 0.000 μB/atom
* mass density: 7.462 g/cm3
* density of states at the Fermi level: 3.76 states/eV/cell

Cell: 4.4012 4.4012 4.4012 Å, 60.00 60.00 60.00°
Atoms (fractional coordinates):
Ag  0.5000  0.5000  0.5000
P  0.0000  0.0000  0.0000
P  0.7500  0.7500  0.7500
Ru  0.2500  0.2500  0.2500

The energy of each structure relative to the most stable one, in kJ/mol of atoms, is as follows: <P> 0.0; <Q> 37.4.

<P>
Density functional theory data (PBE) for AgP2Ru after structural relaxation.

Properties
* total moment: 0.000 μB/atom
* mass density: 6.647 g/cm3
* density of states at the Fermi level: 1.16 states/eV/cell

Cell: 4.2488 4.2488 6.0095 Å, 76.20 76.20 40.16°
Atoms (fractional coordinates):
Ag  0.1981  0.1981  0.2407
P  0.9805  0.9805  0.9907
P  0.8107  0.8107  0.5888
Ru  0.5107  0.5107  0.6798

<Q>
Density functional theory data (PBE) for AgP2Ru after structural relaxation.

Properties
* total moment: 0.000 μB/atom
* mass density: 7.052 g/cm3
* density of states at the Fermi level: 2.15 states/eV/cell

Cell: 2.8727 2.8994 7.6586 Å, 89.96 90.00 90.00°
Atoms (fractional coordinates):
Ag  0.5000  0.7500  0.7500
P  0.0000  0.7504  0.0563
P  0.0000  0.7496  0.4437
Ru  0.5000  0.2500  0.2500

<R>
Density functional theory data (PBE) for AgP2Ru after structural relaxation.

Properties
* total moment: 0.000 μB/atom
* mass density: 7.346 g/cm3
* density of states at the Fermi level: 3.60 states/eV/cell

Cell: 3.1605 4.9681 3.9000 Å, 90.00 90.00 90.00°
Atoms (fractional coordinates):
Ag  0.0000  0.5000  0.5000
P  0.0000  0.0000  0.0000
P  0.5000  0.5000  0.0000
Ru  0.5000  0.0000  0.5000

<S>
Density functional theory data (PBE) for AgP2Ru after structural relaxation.

Properties
* total moment: 0.000 μB/atom
* mass density: 7.277 g/cm3
* density of states at the Fermi level: 3.14 states/eV/cell

Cell: 2.8997 2.8997 7.3518 Å, 90.00 90.00 90.00°
Atoms (fractional coordinates):
Ag  0.5000  0.5000  0.7500
P  0.0000  0.0000  0.0477
P  0.0000  0.0000  0.4523
Ru  0.5000  0.5000  0.2500

The energy of each structure relative to the most stable one, in kJ/mol of atoms, is as follows: <P> 0.0; <Q> 5.4; <R> 53.3; <S> 9.9.

<P>
Density functional theory data (PBE) for Ag3PRu after structural relaxation.

Properties
* total moment: 0.419 μB/atom
* mass density: 7.561 g/cm3
* density of states at the Fermi level: 3.34 states/eV/cell

Cell: 4.6427 4.6427 4.6427 Å, 90.00 90.00 90.00°
Last column: magnetic moment on the atom in μB.
Atoms (fractional coordinates):
Ru  0.5000  0.5000  0.5000  2.01
Ag  0.0000  0.5000  0.0000  0.00
Ag  0.0000  0.0000  0.5000  0.01
Ag  0.5000  0.0000  0.0000  0.00
P  0.0000  0.0000  0.0000  0.06

<Q>
Density functional theory data (PBE) for Ag3PRu after structural relaxation.

Properties
* total moment: 0.624 μB/atom
* mass density: 5.954 g/cm3
* density of states at the Fermi level: 4.78 states/eV/cell

Cell: 5.0275 5.0275 5.0275 Å, 90.00 90.00 90.00°
Last column: magnetic moment on the atom in μB.
Atoms (fractional coordinates):
Ru  0.0000  0.0000  0.0000  2.01
Ag  0.0000  0.5000  0.0000  0.10
Ag  0.0000  0.0000  0.5000  0.18
Ag  0.5000  0.0000  0.0000  0.02
P  0.5000  0.5000  0.5000  0.35

The energy of each structure relative to the most stable one, in kJ/mol of atoms, is as follows: <P> 0.0; <Q> 70.8.

<P>
Density functional theory data (PBE) for AgP2Ru2 after structural relaxation.

Properties
* total moment: 0.000 μB/atom
* mass density: 8.119 g/cm3
* density of states at the Fermi level: 0.98 states/eV/cell

Cell: 3.6592 3.6592 6.2433 Å, 72.96 72.96 90.00°
Atoms (fractional coordinates):
Ru  0.3747  0.3747  0.2505
Ru  0.6253  0.6253  0.7495
Ag  0.0000  0.0000  0.0000
P  0.7500  0.2500  0.5000
P  0.2500  0.7500  0.5000

<Q>
Density functional theory data (PBE) for AgP2Ru2 after structural relaxation.

Properties
* total moment: 0.000 μB/atom
* mass density: 8.809 g/cm3
* density of states at the Fermi level: 6.88 states/eV/cell

Cell: 7.0152 7.0152 2.8496 Å, 90.00 90.00 90.00°
Atoms (fractional coordinates):
Ru  0.1444  0.6444  0.5000
Ru  0.6444  0.8556  0.5000
Ru  0.8556  0.3556  0.5000
Ru  0.3556  0.1444  0.5000
Ag  0.0000  0.0000  0.0000
Ag  0.5000  0.5000  0.0000
P  0.3556  0.8556  0.0000
P  0.8556  0.6444  0.0000
P  0.6444  0.1444  0.0000
P  0.1444  0.3556  0.0000

The energy of each structure relative to the most stable one, in kJ/mol of atoms, is as follows: <P> 0.0; <Q> 6.1.

<P>
Density functional theory data (PBE) for AgP2RuS after structural relaxation.

Properties
* total moment: 0.401 μB/atom
* mass density: 4.737 g/cm3
* density of states at the Fermi level: 4.75 states/eV/cell

Cell: 4.7222 4.7222 4.7627 Å, 90.00 90.00 90.00°
Last column: magnetic moment on the atom in μB.
Atoms (fractional coordinates):
Ru  0.5000  0.5000  0.5000  2.27
S  0.0000  0.0000  0.5000  0.01
Ag  0.0000  0.0000  0.0000  0.00
P  0.0000  0.5000  0.0000  -0.11
P  0.5000  0.0000  0.0000  -0.11

<Q>
Density functional theory data (PBE) for AgP2RuS after structural relaxation.

Properties
* total moment: 0.000 μB/atom
* mass density: 4.838 g/cm3
* density of states at the Fermi level: 3.27 states/eV/cell

Cell: 4.4108 4.4108 5.3448 Å, 90.00 90.00 90.00°
Atoms (fractional coordinates):
Ru  0.0000  0.0000  0.0000
S  0.0000  0.0000  0.5000
Ag  0.5000  0.5000  0.5000
P  0.0000  0.5000  0.0000
P  0.5000  0.0000  0.0000

The energy of each structure relative to the most stable one, in kJ/mol of atoms, is as follows: <P> 98.5; <Q> 0.0.

<P>
Density functional theory data (PBE) for AgPS3 after structural relaxation.

Properties
* total moment: 0.000 μB/atom
* mass density: 2.618 g/cm3
* density of states at the Fermi level: 0.00 states/eV/cell

Cell: 5.9550 7.1617 7.1634 Å, 84.31 98.22 98.37°
Atoms (fractional coordinates):
Ag  0.9469  0.5607  0.8169
Ag  0.2280  0.8254  0.0806
P  0.0877  0.3491  0.2930
P  0.0878  0.0371  0.6049
S  0.9126  0.2832  0.5395
S  0.3329  0.0575  0.8264
S  0.3327  0.5713  0.3125
S  0.8427  0.8150  0.5852
S  0.8425  0.3287  0.0715
S  0.2630  0.1030  0.3584

<Q>
Density functional theory data (PBE) for AgPS3 after structural relaxation.

Properties
* total moment: 0.000 μB/atom
* mass density: 4.156 g/cm3
* density of states at the Fermi level: 3.91 states/eV/cell

Cell: 4.5453 4.5453 4.5453 Å, 90.00 90.00 90.00°
Atoms (fractional coordinates):
P  0.0000  0.0000  0.0000
S  0.0000  0.5000  0.0000
S  0.0000  0.0000  0.5000
S  0.5000  0.0000  0.0000
Ag  0.5000  0.5000  0.5000

<R>
Density functional theory data (PBE) for AgPS3 after structural relaxation.

Properties
* total moment: 0.000 μB/atom
* mass density: 2.643 g/cm3
* density of states at the Fermi level: 2.21 states/eV/cell

Cell: 7.8189 7.8189 7.8189 Å, 129.52 78.57 124.19°
Atoms (fractional coordinates):
Ag  0.7315  0.7315  0.5000
Ag  0.2315  0.2315  0.5000
P  0.4692  0.9817  0.9874
P  0.9943  0.4817  0.0126
S  0.9026  0.2317  0.6713
S  0.9026  0.7314  0.1709
S  0.5604  0.7317  0.8291
S  0.1530  0.4820  0.1709
S  0.5604  0.2314  0.3287
S  0.3111  0.9820  0.8291

The energy of each structure relative to the most stable one, in kJ/mol of atoms, is as follows: <P> 0.0; <Q> 60.5; <R> 10.5.

<P>
Density functional theory data (PBE) for AgPS3 after structural relaxation.

Properties
* total moment: 0.000 μB/atom
* mass density: 3.156 g/cm3

Cell: 6.5855 6.5855 7.6271 Å, 60.94 60.94 66.83°
Atoms (fractional coordinates):
Ag  0.2550  0.7450  0.0000
Ag  0.7450  0.2550  0.0000
P  0.3545  0.3545  0.7081
P  0.6455  0.6455  0.2919
S  0.6743  0.6743  0.0052
S  0.3257  0.3257  0.9948
S  0.7153  0.2847  0.5000
S  0.2847  0.7153  0.5000
S  0.8318  0.8318  0.2831
S  0.1682  0.1682  0.7169

<Q>
Density functional theory data (PBE) for AgPS3 after structural relaxation.

Properties
* total moment: 0.000 μB/atom
* mass density: 3.632 g/cm3
* density of states at the Fermi level: 4.59 states/eV/cell

Cell: 4.7544 4.7544 4.7544 Å, 90.00 90.00 90.00°
Atoms (fractional coordinates):
P  0.5000  0.5000  0.5000
S  0.0000  0.5000  0.0000
S  0.0000  0.0000  0.5000
S  0.5000  0.0000  0.0000
Ag  0.0000  0.0000  0.0000

The energy of each structure relative to the most stable one, in kJ/mol of atoms, is as follows: <P> 0.0; <Q> 134.2.